1.
TePdRhN2, optimized geometry, DFT PBE; formation energy from raw total energies = 0.956 eV/atom
1.0
-2.659 -2.714 -0.030
2.232 -2.210 2.138
-2.435 2.332 4.953
Te Rh Pd N
1 1 1 2
direct
0.000 0.000 0.500 Te
0.000 0.000 0.000 Rh
0.500 0.500 0.500 Pd
0.000 0.500 0.000 N
0.500 0.000 0.000 N

2.
CaRhBr, optimized geometry, DFT PBE; formation energy from raw total energies = -0.029 eV/atom
1.0
-2.618 -3.687 -1.471
0.966 -2.093 -4.159
1.880 -4.367 -0.084
Ca Rh Br
1 1 1
direct
0.750 0.750 0.750 Ca
0.000 0.000 0.000 Rh
0.500 0.500 0.500 Br

3.
SrSn3Au, optimized geometry, DFT PBE; ΔH_f (0 K) = 1.093 eV/atom
1.0
6.038 0.000 0.000
0.000 6.038 0.000
0.000 0.000 6.038
Sr Au Sn
1 1 3
direct
0.000 0.000 0.000 Sr
0.500 0.500 0.500 Au
0.000 0.500 0.000 Sn
0.000 0.000 0.500 Sn
0.500 0.000 0.000 Sn

4.
GeRuN, optimized geometry, DFT PBE; formation energy from raw total energies = 0.134 eV/atom
1.0
6.661 0.000 -0.001
0.000 2.950 0.000
-3.632 0.000 8.385
Ru Ge N
4 4 4
direct
0.810 0.000 0.997 Ru
0.810 0.500 0.497 Ru
0.041 0.000 0.363 Ru
0.041 0.500 0.863 Ru
0.134 0.000 0.686 Ge
0.134 0.500 0.186 Ge
0.530 0.000 0.107 Ge
0.530 0.500 0.607 Ge
0.337 0.000 0.584 N
0.337 0.500 0.084 N
0.721 0.000 0.331 N
0.721 0.500 0.831 N

5.
Na2LaSiO5, optimized geometry, DFT PBE; formation energy from raw total energies = -2.456 eV/atom
1.0
-3.798 -4.050 3.725
-2.318 -3.568 -6.242
7.350 -6.163 0.794
Na La Si O
8 4 4 20
direct
0.890 0.537 0.316 Na
0.610 0.963 0.816 Na
0.110 0.037 0.684 Na
0.390 0.463 0.184 Na
0.110 0.463 0.684 Na
0.390 0.037 0.184 Na
0.890 0.963 0.316 Na
0.610 0.537 0.816 Na
0.370 0.750 0.459 La
0.130 0.750 0.959 La
0.630 0.250 0.541 La
0.870 0.250 0.041 La
0.680 0.750 0.087 Si
0.820 0.750 0.587 Si
0.320 0.250 0.913 Si
0.180 0.250 0.413 Si
0.825 0.576 0.064 O
0.675 0.924 0.564 O
0.175 0.076 0.936 O
0.325 0.424 0.436 O
0.175 0.424 0.936 O
0.325 0.076 0.436 O
0.825 0.924 0.064 O
0.675 0.576 0.564 O
0.495 0.750 0.976 O
0.005 0.750 0.476 O
0.505 0.250 0.024 O
0.995 0.250 0.524 O
0.595 0.750 0.250 O
0.905 0.750 0.750 O
0.405 0.250 0.750 O
0.095 0.250 0.250 O
0.225 0.750 0.215 O
0.275 0.750 0.715 O
0.775 0.250 0.785 O
0.725 0.250 0.285 O

6.
PaBePtO6, optimized geometry, DFT PBE; formation energy from raw total energies = -1.963 eV/atom
1.0
-3.841 0.376 2.781
-2.823 -1.948 -3.635
2.149 -2.997 3.373
Pa Be Pt O
1 1 1 6
direct
0.000 0.333 0.667 Pa
0.500 0.000 0.000 Be
0.500 0.667 0.333 Pt
0.721 0.694 0.685 O
0.721 0.315 0.009 O
0.721 0.991 0.306 O
0.279 0.315 0.306 O
0.279 0.694 0.009 O
0.279 0.991 0.685 O

7.
ScPBr2, optimized geometry, DFT PBE; formation energy from raw total energies = -0.401 eV/atom
1.0
2.019 0.000 10.453
-1.010 1.749 10.453
-1.010 -1.749 10.453
Sc P Br
1 1 2
direct
0.500 0.500 0.500 Sc
0.000 0.000 0.000 P
0.890 0.890 0.890 Br
0.110 0.110 0.110 Br

8.
KCuHg2, optimized geometry, DFT PBE; ΔH_f (0 K) = -0.022 eV/atom
1.0
-1.643 -0.717 4.365
2.888 -1.142 3.552
1.184 5.365 3.797
Cu Hg K
1 2 1
direct
0.250 0.250 0.250 Cu
0.954 0.954 0.134 Hg
0.546 0.546 0.366 Hg
0.750 0.750 0.750 K

9.
BaTmTcN3, optimized geometry, DFT PBE; formation energy from raw total energies = -0.743 eV/atom
1.0
3.552 0.000 0.000
0.000 9.340 0.178
0.000 -2.235 6.506
Ba Tm Tc N
2 2 2 6
direct
0.250 0.298 0.310 Ba
0.750 0.702 0.690 Ba
0.250 0.636 0.147 Tm
0.750 0.364 0.853 Tm
0.250 0.079 0.633 Tc
0.750 0.921 0.367 Tc
0.750 0.809 0.106 N
0.250 0.191 0.894 N
0.250 0.852 0.471 N
0.750 0.148 0.529 N
0.750 0.490 0.196 N
0.250 0.510 0.804 N

10.
PmZnInO4, optimized geometry, DFT PBE; formation energy from raw total energies = -2.027 eV/atom
1.0
6.496 0.000 0.000
3.248 5.750 -0.018
3.248 1.735 5.482
Pm Zn In O
2 2 2 8
direct
0.000 0.000 0.000 Pm
0.000 0.500 0.500 Pm
0.614 0.636 0.136 Zn
0.386 0.364 0.864 Zn
0.500 0.000 0.500 In
0.000 0.000 0.500 In
0.745 0.775 0.735 O
0.255 0.765 0.725 O
0.745 0.235 0.275 O
0.255 0.225 0.265 O
0.237 0.758 0.258 O
0.747 0.758 0.258 O
0.253 0.242 0.742 O
0.763 0.242 0.742 O

11.
K2TaTl, optimized geometry, DFT PBE; ΔH_f (0 K) = 1.025 eV/atom
1.0
6.815 0.003 0.000
4.083 5.457 0.000
-5.449 -2.730 3.050
K Ta Tl
2 1 1
direct
0.000 0.000 0.000 K
0.500 0.500 0.000 K
0.250 0.750 0.500 Ta
0.750 0.250 0.500 Tl

12.
MnMo2Au, optimized geometry, DFT PBE; ΔH_f (0 K) = 0.226 eV/atom
1.0
-3.383 -1.759 -2.296
0.237 -2.282 1.399
-3.308 1.305 3.875
Au Mn Mo
1 1 2
direct
0.000 0.621 0.499 Au
0.500 0.666 0.775 Mn
0.000 0.003 0.983 Mo
0.500 0.210 0.243 Mo

13.
AlAu, optimized geometry, DFT PBE; ΔH_f (0 K) = -0.337 eV/atom
1.0
-2.127 0.934 8.503
-3.418 -8.125 0.037
4.313 -1.809 1.277
Al Au
8 8
direct
0.610 0.110 0.000 Al
0.610 0.890 0.500 Al
0.390 0.110 0.500 Al
0.390 0.890 0.000 Al
0.890 0.390 0.500 Al
0.890 0.610 0.000 Al
0.110 0.390 0.000 Al
0.110 0.610 0.500 Al
0.817 0.317 0.000 Au
0.817 0.683 0.500 Au
0.183 0.317 0.500 Au
0.183 0.683 0.000 Au
0.683 0.183 0.500 Au
0.683 0.817 0.000 Au
0.317 0.183 0.000 Au
0.317 0.817 0.500 Au

14.
Na4CaHg15, optimized geometry, DFT PBE; ΔH_f (0 K) = -0.223 eV/atom
1.0
-2.348 -3.989 -0.833
1.317 0.166 -4.512
19.268 -12.421 5.168
Na Ca Hg
4 1 15
direct
0.000 0.000 0.200 Na
0.000 0.000 0.400 Na
0.000 0.000 0.600 Na
0.000 0.000 0.800 Na
0.000 0.000 0.000 Ca
0.500 0.500 0.000 Hg
0.500 0.500 0.198 Hg
0.500 0.500 0.400 Hg
0.500 0.500 0.600 Hg
0.500 0.500 0.802 Hg
0.500 0.000 0.101 Hg
0.500 0.000 0.300 Hg
0.500 0.000 0.500 Hg
0.500 0.000 0.700 Hg
0.500 0.000 0.899 Hg
0.000 0.500 0.101 Hg
0.000 0.500 0.300 Hg
0.000 0.500 0.500 Hg
0.000 0.500 0.700 Hg
0.000 0.500 0.899 Hg

15.
Th2Pd, optimized geometry, DFT PBE; ΔH_f (0 K) = -0.505 eV/atom
1.0
5.984 -0.003 0.000
-3.029 5.161 0.000
-1.478 -2.579 5.194
Th Pd
4 2
direct
0.162 0.662 0.824 Th
0.338 0.162 0.500 Th
0.662 0.838 0.500 Th
0.838 0.338 0.176 Th
0.250 0.250 0.000 Pd
0.750 0.750 0.000 Pd

16.
AlCl3O, optimized geometry, DFT PBE; formation energy from raw total energies = 0.355 eV/atom
1.0
-0.700 4.425 -0.878
0.548 -0.799 -4.461
-4.478 -0.789 -0.409
Al O Cl
1 1 3
direct
0.500 0.500 0.500 Al
0.000 0.000 0.000 O
0.000 0.500 0.000 Cl
0.000 0.000 0.500 Cl
0.500 0.000 0.000 Cl

17.
La2Tb2DyCd5, optimized geometry, DFT PBE; ΔH_f (0 K) = -0.210 eV/atom
1.0
-4.489 1.365 -1.065
-2.187 -9.912 -3.482
-3.182 -2.764 9.869
La Tb Dy Cd
4 4 2 10
direct
0.000 0.675 0.175 La
0.000 0.325 0.825 La
0.000 0.175 0.325 La
0.000 0.825 0.675 La
0.000 0.124 0.624 Tb
0.000 0.876 0.376 Tb
0.000 0.624 0.876 Tb
0.000 0.376 0.124 Tb
0.000 0.000 0.000 Dy
0.000 0.500 0.500 Dy
0.500 0.194 0.067 Cd
0.500 0.806 0.933 Cd
0.500 0.067 0.806 Cd
0.500 0.694 0.433 Cd
0.500 0.933 0.194 Cd
0.500 0.306 0.567 Cd
0.500 0.567 0.694 Cd
0.500 0.433 0.306 Cd
0.500 0.500 0.000 Cd
0.500 0.000 0.500 Cd

18.
Ga3ReBr, optimized geometry, DFT PBE; formation energy from raw total energies = 0.258 eV/atom
1.0
4.960 0.000 0.000
0.000 4.960 0.000
0.000 0.000 4.960
Re Ga Br
1 3 1
direct
0.000 0.000 0.000 Re
0.000 0.500 0.000 Ga
0.000 0.000 0.500 Ga
0.500 0.000 0.000 Ga
0.500 0.500 0.500 Br

19.
TcAg2I6, optimized geometry, DFT PBE; formation energy from raw total energies = -0.117 eV/atom
1.0
6.823 0.000 3.325
2.601 6.307 3.325
0.212 0.142 8.228
Tc Ag I
1 2 6
direct
0.666 0.666 0.001 Tc
0.266 0.266 0.203 Ag
0.408 0.408 0.775 Ag
0.597 0.292 0.238 I
0.292 0.874 0.238 I
0.874 0.597 0.238 I
0.444 0.759 0.768 I
0.759 0.029 0.768 I
0.029 0.444 0.768 I

20.
Tm2Cd3Hg3, optimized geometry, DFT PBE; ΔH_f (0 K) = -0.308 eV/atom
1.0
-1.972 2.388 -3.992
-0.752 -2.504 -4.323
-8.510 -2.105 -0.252
Tm Cd Hg
2 3 3
direct
0.003 0.003 0.992 Tm
0.497 0.497 0.508 Tm
0.250 0.250 0.249 Cd
0.749 0.749 0.752 Cd
0.624 0.624 0.129 Cd
0.126 0.126 0.623 Hg
0.878 0.878 0.367 Hg
0.373 0.373 0.881 Hg

Here are the calculated mass density numbers, same order: 7.0; 4.9; 4.8; 7.6; 4.0; 8.6; 3.5; 7.2; 6.8; 6.3; 6.8; 11.8; 7.9; 10.0; 11.8; 2.6; 7.9; 6.5; 5.1; 11.6 (g/cm³).